# 1
{
  "formula": "CdNiRh2Pb",
  "functional": "PBE",
  "state": "optimized geometry",
  "lattice_angstrom": [[4.6192, 0.0000, 0.0000], [0.0000, 4.6192, 0.0000], [0.0000, 0.0000, 4.7755]],
  "species": ["Cd", "Ni", "Rh", "Rh", "Pb"],
  "frac_coords": [[0.0000, 0.0000, 0.0000], [0.0000, 0.0000, 0.5000], [0.0000, 0.5000, 0.5000], [0.5000, 0.0000, 0.5000], [0.5000, 0.5000, 0.0000]],
  "ef_kj_per_mol_fu": 292,
  "magnetic_moment_mub_per_cell": 1.35
}



# 2
{
  "formula": "CdNiSn2Pb",
  "functional": "PBE",
  "state": "optimized geometry",
  "lattice_angstrom": [[5.0022, 0.0000, 0.0000], [0.0000, 5.0022, 0.0000], [0.0000, 0.0000, 5.1251]],
  "species": ["Cd", "Ni", "Sn", "Sn", "Pb"],
  "frac_coords": [[0.0000, 0.0000, 0.0000], [0.0000, 0.0000, 0.5000], [0.0000, 0.5000, 0.5000], [0.5000, 0.0000, 0.5000], [0.5000, 0.5000, 0.0000]],
  "polymorph_energy_mev_per_atom": 0,
  "ef_kj_per_mol_fu": 41,
  "magnetic_moment_mub_per_cell": 0.00
}



# 3
{
  "formula": "CdNiSn2Pb",
  "functional": "PBE",
  "state": "optimized geometry",
  "lattice_angstrom": [[4.9850, 0.0000, 0.0000], [0.0000, 4.9850, 0.0000], [0.0000, 0.0000, 5.3427]],
  "species": ["Cd", "Ni", "Sn", "Sn", "Pb"],
  "frac_coords": [[0.0000, 0.0000, 0.0000], [0.5000, 0.5000, 0.5000], [0.0000, 0.5000, 0.5000], [0.5000, 0.0000, 0.5000], [0.5000, 0.5000, 0.0000]],
  "polymorph_energy_mev_per_atom": 8,
  "ef_kj_per_mol_fu": 45,
  "magnetic_moment_mub_per_cell": 0.00
}



# 4
{
  "formula": "CdNi2SnPb",
  "functional": "PBE",
  "state": "optimized geometry",
  "lattice_angstrom": [[4.8653, 0.0000, 0.0000], [0.0000, 4.8653, 0.0000], [0.0000, 0.0000, 5.7659]],
  "species": ["Cd", "Ni", "Ni", "Sn", "Pb"],
  "frac_coords": [[0.0000, 0.0000, 0.0000], [0.0000, 0.5000, 0.5000], [0.5000, 0.0000, 0.5000], [0.5000, 0.5000, 0.0000], [0.5000, 0.5000, 0.5000]],
  "ef_kj_per_mol_fu": 468,
  "magnetic_moment_mub_per_cell": 0.24
}



# 5
{
  "formula": "Cd2NiSnPb",
  "functional": "PBE",
  "state": "optimized geometry",
  "lattice_angstrom": [[5.0894, 0.0000, 0.0000], [0.0000, 5.0894, 0.0000], [0.0000, 0.0000, 4.8385]],
  "species": ["Cd", "Cd", "Ni", "Sn", "Pb"],
  "frac_coords": [[0.0000, 0.5000, 0.0000], [0.5000, 0.0000, 0.0000], [0.0000, 0.0000, 0.0000], [0.0000, 0.0000, 0.5000], [0.5000, 0.5000, 0.5000]],
  "ef_kj_per_mol_fu": 42,
  "magnetic_moment_mub_per_cell": 0.00
}



# 6
{
  "formula": "SrCdNiPb2",
  "functional": "PBE",
  "state": "optimized geometry",
  "lattice_angstrom": [[5.2112, 0.0000, 0.0000], [0.0000, 5.2112, 0.0000], [0.0000, 0.0000, 5.1328]],
  "species": ["Sr", "Cd", "Ni", "Pb", "Pb"],
  "frac_coords": [[0.0000, 0.0000, 0.0000], [0.5000, 0.5000, 0.0000], [0.5000, 0.5000, 0.5000], [0.0000, 0.5000, 0.5000], [0.5000, 0.0000, 0.5000]],
  "ef_kj_per_mol_fu": -63,
  "magnetic_moment_mub_per_cell": 0.00
}